Compound: RbMnF3
Source: the Alexandria database
Functional: PBE with a Hubbard U
Structure: optimized geometry

a b c (Å): 3.7756 3.7756 6.8460
angles (deg): 90.00 90.00 90.00
Closest atoms and distances in Å follow each position.
Positions (direct):
Mn 0.5000 0.5000 0.5515  4 F 2.11
F 0.5000 0.0000 0.4127  2 Mn 2.11
F 0.0000 0.0000 0.7538  1 Rb 2.60
F 0.0000 0.5000 0.4127  2 Mn 2.11
Rb 0.0000 0.0000 0.1330  5 F 2.60-2.69

Properties
**Symmetry**: No. 99
**Energy**: -5.1560 eV per atom